This record from the Alexandria database describes TeMo3F after structural relaxation. The functional is PBE with a Hubbard U.

abc: 5.6872 5.6872 5.6872
angles: 90.00 90.00 90.00
Space group Pm-3m (No. 221)
Asymmetric unit:
Te 0.0000 0.0000 0.0000 (multiplicity 1)
Mo 0.0000 0.0000 0.5000 (multiplicity 3)
F 0.5000 0.5000 0.5000 (multiplicity 1)

Values from the calculation:
Final energy   -21.08 eV per cell
ρ   3.92 g/cm3
Crystal system   cubic